Entry 1:
Density functional theory data (PBE) for crystalline Na2Ag5O4 at its relaxed geometry.

The structure belongs to space group Fmmm (No. 69); the cell edges are 5.713, 11.220 and 11.741 Å and the angles 90.00°, 90.00° and 90.00°. The distinct sites, in fractional coordinates, are Na at (0.000, 0.201, 0.000), Ag at (0.000, 0.000, 0.500), Ag at (0.250, 0.000, 0.250), Ag at (0.250, 0.250, 0.250) and O at (0.000, 0.134, 0.373).

Its crystal system is orthorhombic. The uncorrected formation energy is -0.239 eV per atom. The value obtained for the volume is 17.1 A^3/atom. The calculated density is 5731 kg/m3.

Entry 2:
Density functional theory data (PBE) for crystalline NbRe2Os at its relaxed geometry.

The structure belongs to space group R-3m (No. 166, hexagonal axes); the cell edges are 2.7777, 2.7777 and 29.0365 Å and the angles 90.00°, 90.00° and 120.00°. The distinct sites, in fractional coordinates, are Nb at (0.0000, 0.0000, 0.0000), Re at (0.0000, 0.0000, 0.0912) and Os at (0.0000, 0.0000, 0.5000).

For the polymorph energy (0 for the lowest one), the calculation gives 0.981 eV/f.u. As for the calculated formation energy: 471 meV/atom. Its crystal system is trigonal. The value obtained for the volume is 16.2 A^3/atom. The calculated density is 16832 kg/m3.

Entry 3:
Density functional theory data (PBE) for crystalline GdErMnTl at its relaxed geometry.

The structure belongs to space group F-43m (No. 216); the cell edges are 7.383, 7.383 and 7.383 Å and the angles 90.00°, 90.00° and 90.00°. The distinct sites, in fractional coordinates, are Gd at (0.000, 0.000, 0.000), Er at (0.000, 0.000, 0.500), Mn at (0.250, 0.250, 0.750) and Tl at (0.250, 0.250, 0.250).

As for the calculated formation energy: -27 meV/atom. Its crystal system is cubic. The value obtained for the volume is 25.2 A^3/atom. The calculated density is 9635 kg/m3.

Entry 4:
Density functional theory data (PBE) for crystalline MgSiHg at its relaxed geometry.

The structure belongs to space group P1 (No. 1); the cell edges are 3.719, 5.502 and 7.175 Å and the angles 70.03°, 75.21° and 70.71°. The distinct sites, in fractional coordinates, are Mg at (0.000, 0.000, 0.000), Mg at (0.276, 0.074, 0.378), Si at (0.001, 0.635, 0.365), Si at (0.503, 0.430, 0.565), Hg at (0.298, 0.427, 0.982) and Hg at (0.712, 0.861, 0.718).

Its crystal system is triclinic. The uncorrected formation energy is 0.101 eV per atom. The value obtained for the volume is 21.4 A^3/atom. The calculated density is 6535 kg/m3.

Entry 5:
Density functional theory data (PBE) for crystalline Pm6IrPt2 at its relaxed geometry.

The structure belongs to space group P2_1/c (No. 14); the cell edges are 6.808, 7.432 and 12.061 Å and the angles 90.00°, 120.22° and 90.00°. The distinct sites, in fractional coordinates, are Pm at (0.090, 0.047, 0.252), Pm at (0.254, 0.676, 0.078), Pm at (0.399, 0.183, 0.069), Ir at (0.000, 0.000, 0.000) and Pt at (0.325, 0.114, 0.770).

As for the calculated formation energy: -716 meV/atom. Its crystal system is monoclinic. The value obtained for the volume is 29.3 A^3/atom. The calculated density is 9147 kg/m3.

Entry 6:
Density functional theory data (PBE) for crystalline LiLa2 at its relaxed geometry.

The structure belongs to space group I4/mcm (No. 140); the cell edges are 8.292, 8.292 and 5.484 Å and the angles 90.00°, 90.00° and 90.00°. The distinct sites, in fractional coordinates, are Li at (0.000, 0.000, 0.250) and La at (0.148, 0.352, 0.000).

For the polymorph energy (0 for the lowest one), the calculation gives 0.087 eV/f.u. As for the calculated formation energy: 88 meV/atom. Its crystal system is tetragonal. The value obtained for the volume is 31.4 A^3/atom. The calculated density is 5016 kg/m3.

Entry 7:
Density functional theory data (PBE) for crystalline ReAg at its relaxed geometry.

The structure belongs to space group Imma (No. 74); the cell edges are 3.644, 4.467 and 8.150 Å and the angles 90.00°, 90.00° and 90.00°. The distinct sites, in fractional coordinates, are Re at (0.000, 0.250, 0.149) and Ag at (0.000, 0.250, 0.621).

For the polymorph energy (0 for the lowest one), the calculation gives 0.941 eV/f.u. As for the calculated formation energy: 717 meV/atom. Its crystal system is orthorhombic. The value obtained for the volume is 16.6 A^3/atom. The calculated density is 14727 kg/m3.

Entry 8:
Density functional theory data (PBE) for crystalline Pr5CdIn2 at its relaxed geometry.

The structure belongs to space group I4/mmm (No. 139); the cell edges are 5.836, 5.836 and 14.442 Å and the angles 90.00°, 90.00° and 90.00°. The distinct sites, in fractional coordinates, are Pr at (0.000, 0.000, 0.000), Pr at (0.000, 0.500, 0.129), Cd at (0.000, 0.000, 0.500) and In at (0.000, 0.000, 0.247).

For the polymorph energy (0 for the lowest one), the calculation gives 0.369 eV/f.u. As for the calculated formation energy: -264 meV/atom. Its crystal system is tetragonal. The value obtained for the volume is 30.7 A^3/atom. The calculated density is 7067 kg/m3.

Entry 9:
Density functional theory data (PBE) for crystalline PrNd2Cd4 at its relaxed geometry.

The structure belongs to space group I4/mmm (No. 139); the cell edges are 5.455, 5.455 and 14.417 Å and the angles 90.00°, 90.00° and 90.00°. The distinct sites, in fractional coordinates, are Pr at (0.000, 0.000, 0.000), Nd at (0.000, 0.000, 0.262) and Cd at (0.000, 0.500, 0.115).

As for the calculated formation energy: -163 meV/atom. Its crystal system is tetragonal. The value obtained for the volume is 30.6 A^3/atom. The calculated density is 6804 kg/m3.

Entry 10:
Density functional theory data (PBE) for crystalline BiOs3C at its relaxed geometry.

The structure belongs to space group Pm-3m (No. 221); the cell edges are 5.028, 5.028 and 5.028 Å and the angles 90.00°, 90.00° and 90.00°. The distinct sites, in fractional coordinates, are Bi at (0.000, 0.000, 0.000), Os at (0.000, 0.000, 0.500) and C at (0.500, 0.500, 0.500).

For the polymorph energy (0 for the lowest one), the calculation gives 17.345 eV/f.u. As for the calculated formation energy: 4363 meV/atom. Its crystal system is cubic. The value obtained for the volume is 25.4 A^3/atom. The calculated density is 10343 kg/m3.

Entry 11:
Density functional theory data (PBE) for crystalline LiY3Ir at its relaxed geometry.

The structure belongs to space group Pm-3m (No. 221); the cell edges are 5.441, 5.441 and 5.441 Å and the angles 90.00°, 90.00° and 90.00°. The distinct sites, in fractional coordinates, are Li at (0.000, 0.000, 0.000), Y at (0.000, 0.500, 0.500) and Ir at (0.500, 0.500, 0.500).

For the polymorph energy (0 for the lowest one), the calculation gives 0.000 eV/f.u. As for the calculated formation energy: -249 meV/atom. Its crystal system is cubic. The value obtained for the volume is 32.2 A^3/atom. The calculated density is 4803 kg/m3.

Entry 12:
Density functional theory data (PBE) for crystalline Fe3P at its relaxed geometry.

The structure belongs to space group Fm-3m (No. 225); the cell edges are 5.550, 5.550 and 5.550 Å and the angles 90.00°, 90.00° and 90.00°. The distinct sites, in fractional coordinates, are Fe at (0.000, 0.000, 0.000), Fe at (0.250, 0.250, 0.250) and P at (0.000, 0.000, 0.500).

For the polymorph energy (0 for the lowest one), the calculation gives 0.671 eV/f.u. As for the calculated formation energy: -189 meV/atom. Its crystal system is cubic. The value obtained for the volume is 10.7 A^3/atom. The calculated density is 7711 kg/m3.

Entry 13:
Density functional theory data (PBE) for crystalline NdMgBi2 at its relaxed geometry.

The structure belongs to space group Fm-3m (No. 225); the cell edges are 7.805, 7.805 and 7.805 Å and the angles 90.00°, 90.00° and 90.00°. The distinct sites, in fractional coordinates, are Nd at (0.000, 0.000, 0.000), Mg at (0.000, 0.000, 0.500) and Bi at (0.250, 0.250, 0.250).

For the polymorph energy (0 for the lowest one), the calculation gives 0.752 eV/f.u. As for the calculated formation energy: -351 meV/atom. Its crystal system is cubic. The value obtained for the volume is 29.7 A^3/atom. The calculated density is 8192 kg/m3.